[1]
! Na8Tl5Sn | Alexandria via LeMat-Bulk | GGA-PBE | optimized geometry; values from VASP
&SYSTEM
  ibrav = 0, nat = 14, ntyp = 3
/
ATOMIC_SPECIES
Na 22.99 Na.upf
Tl 204.38 Tl.upf
Sn 118.71 Sn.upf
ATOMIC_POSITIONS crystal
Na 0.173 0.396 0.576
Na 0.345 0.234 0.245
Na 0.404 0.827 0.224
Na 0.604 0.180 0.776
Na 0.766 0.011 0.111
Na 0.820 0.596 0.424
Na 0.901 0.655 0.889
Na 0.989 0.099 0.755
Tl 0.061 0.477 0.195
Tl 0.134 0.939 0.417
Tl 0.282 0.866 0.805
Tl 0.500 0.500 0.000
Tl 0.523 0.718 0.583
Sn 0.750 0.250 0.500
CELL_PARAMETERS angstrom
-4.641 4.641 5.031
4.641 -4.641 5.031
4.641 4.641 -5.031
! SG: I-4
! ΔH_f (0 K) in eV/atom: -0.047
! DFT total energy in eV/atom: -1.932

=====

[2]
! Na2TlAgH | Alexandria via LeMat-Bulk | GGA-PBE | optimized geometry; values from VASP
&SYSTEM
  ibrav = 0, nat = 5, ntyp = 4
/
ATOMIC_SPECIES
Na 22.99 Na.upf
Tl 204.38 Tl.upf
Ag 107.87 Ag.upf
H 1.01 H.upf
ATOMIC_POSITIONS crystal
Na 0.000 0.500 0.000
Na 0.500 0.000 0.000
Tl 0.000 0.000 0.500
Ag 0.500 0.500 0.500
H 0.000 0.000 0.000
CELL_PARAMETERS angstrom
4.500 0.000 0.000
0.000 4.500 0.000
0.000 0.000 5.176
! SG: P4/mmm
! DFT total energy in eV/atom: -2.221